A geometry-optimized Tb2PrNi2B2N3 structure, computed with PBE-GGA.

abc: 10.4828 10.4828 10.4828
angles: 160.56 160.56 27.63
Element x y z (fractional)
B1 0.1921 0.1921 0.0000
B2 0.8079 0.8079 0.0000
N1 0.1211 0.1211 0.0000
N2 0.5000 0.5000 0.0000
N3 0.8789 0.8789 0.0000
Ni1 0.7500 0.2500 0.5000
Ni2 0.2500 0.7500 0.5000
Pr1 0.0000 0.0000 0.0000
Tb1 0.3748 0.3748 0.0000
Tb2 0.6252 0.6252 0.0000

A geometry-optimized PrTmNi2B2N2 structure, computed with PBE-GGA.

abc: 3.5587 3.5587 7.5301
angles: 90.00 90.00 90.00
Element x y z (fractional)
B1 0.0000 0.0000 0.3448
B2 0.5000 0.5000 0.6598
N1 0.0000 0.0000 0.1524
N2 0.5000 0.5000 0.8552
Ni1 0.5000 0.0000 0.4960
Ni2 0.0000 0.5000 0.4960
Pr1 0.0000 0.0000 0.8284
Tm1 0.5000 0.5000 0.1674

A geometry-optimized Sm2Ni2B3N structure, computed with PBE-GGA.

abc: 3.7031 3.7031 7.5263
angles: 90.00 90.00 90.00
Element x y z (fractional)
B1 0.5000 0.5000 0.3555
B2 0.0000 0.0000 0.6202
B3 0.0000 0.0000 0.8360
N1 0.5000 0.5000 0.1624
Ni1 0.5000 0.0000 0.5001
Ni2 0.0000 0.5000 0.5001
Sm1 0.0000 0.0000 0.1869
Sm2 0.5000 0.5000 0.8387

A geometry-optimized TbSm2Ni2B2N3 structure, computed with PBE-GGA.

abc: 10.3773 10.3773 10.3773
angles: 160.34 160.34 27.94
Element x y z (fractional)
B1 0.1903 0.1903 0.0000
B2 0.8097 0.8097 0.0000
N1 0.1180 0.1180 0.0000
N2 0.5000 0.5000 0.0000
N3 0.8820 0.8820 0.0000
Ni1 0.7500 0.2500 0.5000
Ni2 0.2500 0.7500 0.5000
Sm1 0.3759 0.3759 0.0000
Sm2 0.6241 0.6241 0.0000
Tb1 0.0000 0.0000 0.0000

no.,energy (eV for the cell shown),calculated volume (Å³/atom)
1,-74.61,12.75
2,-58.38,11.92
3,-54.06,12.90
4,-75.02,12.64